HfCu12 after structural relaxation. Source: the Alexandria database, functional PBE.

The symmetry is I4/mmm (139). The formation enthalpy at 0 K is 0 kJ per mole of atoms. The magnetic moment comes out at 0.000 μB/f.u. The density of states at the Fermi level is 0.345 states/eV per atom. The value obtained for the total energy is -59.1 eV/cell.

Structure (POSCAR):
```
HfCu12
1.0
4.419 0.000 1.784
2.209 5.929 0.892
-0.011 0.000 6.390
Hf Cu
1 12
direct
0.000 0.000 0.000 Hf
0.000 0.500 0.000 Cu
0.287 0.213 0.213 Cu
0.500 0.213 0.787 Cu
0.500 0.000 0.500 Cu
0.713 0.787 0.787 Cu
0.500 0.787 0.213 Cu
0.000 0.000 0.500 Cu
0.649 0.351 0.351 Cu
0.000 0.351 0.649 Cu
0.500 0.500 0.000 Cu
0.000 0.649 0.351 Cu
0.351 0.649 0.649 Cu
```